(1)
Density functional theory data (PBE-GGA) for a geometry-optimized CsLaCu2F8 structure.

Calculated volume = 20.96 A^3/atom
Space group = P-3
Fermi-level density of states = 16.978 states/eV per cell
Raw formation energy = -237.57 kJ per mole of atoms

Lattice parameters (Å, degrees): 5.639 5.639 9.135 90.00 90.00 120.00
Positions (direct):
Cs  0.000  0.000  0.000
La  0.000  0.000  0.500
Cu  0.333  0.667  0.768
Cu  0.667  0.333  0.232
F  0.060  0.343  0.664
F  0.283  0.940  0.664
F  0.333  0.667  0.970
F  0.343  0.283  0.336
F  0.657  0.717  0.664
F  0.667  0.333  0.030
F  0.717  0.060  0.336
F  0.940  0.657  0.336

***

(2)
Density functional theory data (PBE-GGA) for a geometry-optimized CaZn2BiI structure.

Calculated volume = 42.39 A^3/atom
Space group = P4/mmm
Fermi-level density of states = 2.825 states/eV per cell
Raw formation energy = 35.97 kJ per mole of atoms

Lattice parameters (Å, degrees): 6.042 6.042 5.806 90.00 90.00 90.00
Positions (direct):
Ca  0.000  0.000  0.000
Zn  0.000  0.500  0.000
Zn  0.500  0.000  0.000
Bi  0.500  0.500  0.500
I  0.000  0.000  0.500